--- w ---
Computed, not measured: an optimized crystal structure of MnBeIr at the GGA-PBE level of DFT.

Geometry as POSCAR:
```
MnBeIr
1.0
4.123 -1.894 0.000
4.123 1.894 0.000
-2.205 0.000 4.534
Mn Be Ir
2 2 2
Direct
0.000 0.000 0.000 Mn
0.701 0.701 0.363 Mn
0.373 0.373 0.651 Be
0.675 0.675 0.857 Be
0.054 0.054 0.551 Ir
0.339 0.339 0.135 Ir
```

***

--- x ---
Computed, not measured: an optimized crystal structure of MnBeIr at the GGA-PBE level of DFT.

Geometry as POSCAR:
```
MnBeIr
1.0
0.000 2.691 2.691
2.691 0.000 2.691
2.691 2.691 0.000
Mn Be Ir
1 1 1
Direct
0.000 0.000 0.000 Mn
0.250 0.250 0.250 Be
0.500 0.500 0.500 Ir
```

***

Stability summary - winner: w; margin: 152 meV per atom.

***

--- w ---
Computed, not measured: an optimized crystal structure of Mn2BeIr2 at the GGA-PBE level of DFT.

Geometry as POSCAR:
```
Mn2BeIr2
1.0
7.023 0.000 0.000
0.000 7.023 0.000
0.000 0.000 2.870
Mn Be Ir
4 2 4
Direct
0.161 0.339 0.000 Mn
0.339 0.839 0.000 Mn
0.661 0.161 0.000 Mn
0.839 0.661 0.000 Mn
0.000 0.000 0.500 Be
0.500 0.500 0.500 Be
0.139 0.639 0.500 Ir
0.361 0.139 0.500 Ir
0.639 0.861 0.500 Ir
0.861 0.361 0.500 Ir
```

***

--- x ---
Computed, not measured: an optimized crystal structure of Mn2BeIr2 at the GGA-PBE level of DFT.

Geometry as POSCAR:
```
Mn2BeIr2
1.0
-1.900 1.900 4.934
1.900 -1.900 4.934
1.900 1.900 -4.934
Mn Be Ir
2 1 2
Direct
0.096 0.096 0.000 Mn
0.904 0.904 0.000 Mn
0.500 0.500 0.000 Be
0.250 0.750 0.500 Ir
0.750 0.250 0.500 Ir
```

***

Stability summary - winner: w; margin: 241 meV per atom.

***

--- w ---
Computed, not measured: an optimized crystal structure of MnBe2Ir2 at the GGA-PBE level of DFT.

Geometry as POSCAR:
```
MnBe2Ir2
1.0
-1.493 1.493 6.717
1.493 -1.493 6.717
1.493 1.493 -6.717
Mn Be Ir
1 2 2
Direct
0.000 0.000 0.000 Mn
0.250 0.750 0.500 Be
0.750 0.250 0.500 Be
0.384 0.384 0.000 Ir
0.616 0.616 0.000 Ir
```

***

--- x ---
Computed, not measured: an optimized crystal structure of MnBe2Ir2 at the GGA-PBE level of DFT.

Geometry as POSCAR:
```
MnBe2Ir2
1.0
6.367 0.000 0.000
0.000 6.367 0.000
0.000 0.000 2.747
Mn Be Ir
2 4 4
Direct
0.000 0.000 0.000 Mn
0.500 0.500 0.000 Mn
0.122 0.378 0.000 Be
0.378 0.878 0.000 Be
0.622 0.122 0.000 Be
0.878 0.622 0.000 Be
0.175 0.675 0.500 Ir
0.325 0.175 0.500 Ir
0.675 0.825 0.500 Ir
0.825 0.325 0.500 Ir
```

***

Stability summary - winner: x; margin: 46 meV per atom.

***

--- w ---
Computed, not measured: an optimized crystal structure of MnBe3Ir at the GGA-PBE level of DFT.

Geometry as POSCAR:
```
MnBe3Ir
1.0
3.817 0.000 0.000
0.000 3.817 0.000
0.000 0.000 3.817
Mn Be Ir
1 3 1
Direct
0.000 0.000 0.000 Mn
0.000 0.000 0.500 Be
0.000 0.500 0.000 Be
0.500 0.000 0.000 Be
0.500 0.500 0.500 Ir
```

***

--- x ---
Computed, not measured: an optimized crystal structure of MnBe3Ir at the GGA-PBE level of DFT.

Geometry as POSCAR:
```
MnBe3Ir
1.0
4.180 0.000 0.000
0.000 4.180 0.000
0.000 0.000 4.180
Mn Be Ir
1 3 1
Direct
0.000 0.000 0.000 Mn
0.000 0.500 0.500 Be
0.500 0.000 0.500 Be
0.500 0.500 0.000 Be
0.500 0.500 0.500 Ir
```

***

Stability summary - winner: x; margin: 511 meV per atom.

***

--- w ---
Computed, not measured: an optimized crystal structure of Be2MoIr at the GGA-PBE level of DFT.

Geometry as POSCAR:
```
Be2MoIr
1.0
4.585 -1.409 0.000
4.585 1.409 0.000
-1.766 0.000 3.634
Be Mo Ir
2 1 1
Direct
0.000 0.000 0.000 Be
0.718 0.718 0.220 Be
0.238 0.238 0.740 Mo
0.463 0.463 0.463 Ir
```

***

--- x ---
Computed, not measured: an optimized crystal structure of Be2MoIr at the GGA-PBE level of DFT.

Geometry as POSCAR:
```
Be2MoIr
1.0
0.000 2.853 2.853
2.853 0.000 2.853
2.853 2.853 0.000
Be Mo Ir
2 1 1
Direct
0.250 0.250 0.250 Be
0.750 0.750 0.750 Be
0.000 0.000 0.000 Mo
0.500 0.500 0.500 Ir
```

***

--- y ---
Computed, not measured: an optimized crystal structure of Be2MoIr at the GGA-PBE level of DFT.

Geometry as POSCAR:
```
Be2MoIr
1.0
2.794 0.000 0.000
0.000 2.794 0.000
0.000 0.000 6.004
Be Mo Ir
2 1 1
Direct
0.000 0.000 0.000 Be
0.500 0.500 0.188 Be
0.500 0.500 0.722 Mo
0.000 0.000 0.412 Ir
```

***

--- z ---
Computed, not measured: an optimized crystal structure of Be2MoIr at the GGA-PBE level of DFT.

Geometry as POSCAR:
```
Be2MoIr
1.0
2.798 0.000 0.000
0.000 2.798 0.000
0.000 0.000 5.944
Be Mo Ir
2 1 1
Direct
0.000 0.000 0.214 Be
0.000 0.000 0.786 Be
0.500 0.500 0.500 Mo
0.500 0.500 0.000 Ir
```

***

Stability summary - winner: y; margin: 11 meV per atom.

***

--- w ---
Computed, not measured: an optimized crystal structure of Be2MoIr at the GGA-PBE level of DFT.

Geometry as POSCAR:
```
Be2MoIr
1.0
-1.819 1.819 8.258
1.819 -1.819 8.258
1.819 1.819 -8.258
Be Mo Ir
4 2 2
Direct
0.099 0.625 0.974 Be
0.375 0.349 0.474 Be
0.651 0.125 0.026 Be
0.875 0.901 0.526 Be
0.250 0.750 0.500 Mo
0.500 0.500 0.000 Mo
0.000 0.000 0.000 Ir
0.750 0.250 0.500 Ir
```

***

--- x ---
Computed, not measured: an optimized crystal structure of Be2MoIr at the GGA-PBE level of DFT.

Geometry as POSCAR:
```
Be2MoIr
1.0
-1.787 1.787 3.799
1.787 -1.787 3.799
1.787 1.787 -3.799
Be Mo Ir
2 1 1
Direct
0.000 0.000 0.000 Be
0.750 0.250 0.500 Be
0.500 0.500 0.000 Mo
0.250 0.750 0.500 Ir
```

***

--- y ---
Computed, not measured: an optimized crystal structure of Be2MoIr at the GGA-PBE level of DFT.

Geometry as POSCAR:
```
Be2MoIr
1.0
3.703 0.000 0.000
0.000 1.413 4.353
0.000 -1.413 4.353
Be Mo Ir
2 1 1
Direct
0.000 0.000 0.000 Be
0.500 0.138 0.138 Be
0.500 0.410 0.410 Mo
0.000 0.717 0.717 Ir
```

***

Stability summary - winner: y; margin: 176 meV per atom.

***

--- w ---
Computed, not measured: an optimized crystal structure of BeIrSN2 at the GGA-PBE level of DFT.

Geometry as POSCAR:
```
BeIrSN2
1.0
3.698 0.000 0.000
0.000 3.698 0.000
0.000 0.000 5.469
Be Ir S N
1 1 1 2
Direct
0.000 0.000 0.000 Be
0.500 0.500 0.500 Ir
0.500 0.500 0.000 S
0.000 0.500 0.500 N
0.500 0.000 0.500 N
```

***

--- x ---
Computed, not measured: an optimized crystal structure of BeIrSN2 at the GGA-PBE level of DFT.

Geometry as POSCAR:
```
BeIrSN2
1.0
3.279 0.000 0.000
0.000 3.279 0.000
0.000 0.000 6.226
Be Ir S N
1 1 1 2
Direct
0.000 0.000 0.000 Be
0.500 0.500 0.500 Ir
0.000 0.000 0.500 S
0.000 0.500 0.000 N
0.500 0.000 0.000 N
```

***

Stability summary - winner: w; margin: 334 meV per atom.

***

--- w ---
Computed, not measured: an optimized crystal structure of NaBe2Ir2 at the GGA-PBE level of DFT.

Geometry as POSCAR:
```
NaBe2Ir2
1.0
6.946 0.000 0.000
0.000 6.946 0.000
0.000 0.000 2.686
Na Be Ir
2 4 4
Direct
0.000 0.000 0.000 Na
0.500 0.500 0.000 Na
0.146 0.354 0.000 Be
0.354 0.854 0.000 Be
0.646 0.146 0.000 Be
0.854 0.646 0.000 Be
0.142 0.642 0.500 Ir
0.358 0.142 0.500 Ir
0.642 0.858 0.500 Ir
0.858 0.358 0.500 Ir
```

***

--- x ---
Computed, not measured: an optimized crystal structure of NaBe2Ir2 at the GGA-PBE level of DFT.

Geometry as POSCAR:
```
NaBe2Ir2
1.0
-2.033 2.033 4.476
2.033 -2.033 4.476
2.033 2.033 -4.476
Na Be Ir
1 2 2
Direct
0.000 0.000 0.000 Na
0.250 0.750 0.500 Be
0.750 0.250 0.500 Be
0.363 0.363 0.000 Ir
0.637 0.637 0.000 Ir
```

***

Stability summary - winner: w; margin: 164 meV per atom.